1.
Material: Y2CrFe
Method: DFT, GGA-PBE
State: optimized geometry

a = 3.5645 Å, b = 4.5789 Å, c = 5.7672 Å
α = 66.56°, β = 90.00°, γ = 90.00°
Closest atoms and distances in Å follow each position.
Atoms (fractional coordinates):
1 Fe 0.5000 0.5647 0.7456  2 Cr 2.15
2 Cr 0.0000 0.6778 0.5194  2 Fe 2.15
3 Y 0.5000 0.2725 0.3300  4 Cr 3.07, 3 Fe 3.09-3.18
4 Y 0.0000 0.9850 0.9050  4 Fe 3.02, 3 Cr 3.07-3.25

Summary:
- energy above the most stable polymorph in this dataset (meV/atom) = 97
- magnetization (μB per formula unit) = 0.4
- energy relative to the elements (eV per atom) = 0.17
- DOS at the Fermi energy (states/eV/atom) = 1.239

---

2.
Material: Dy2Tm3Cd3
Method: DFT, GGA-PBE
State: optimized geometry

a = 4.8430 Å, b = 4.8363 Å, c = 9.1297 Å
α = 90.00°, β = 90.00°, γ = 90.00°
Closest atoms and distances in Å follow each position.
Atoms (fractional coordinates):
1 Cd 0.5000 0.0000 0.5000  4 Tm 3.22, 4 Dy 3.26, 4 Cd 3.42
2 Cd 0.0000 0.5000 0.0000  4 Dy 3.39, 8 Tm 3.42-3.43
3 Cd 0.0000 0.5000 0.5000  4 Tm 3.23, 4 Dy 3.26, 4 Cd 3.42
4 Dy 0.0000 0.0000 0.7398  6 Cd 3.26-3.39, 6 Tm 3.39-3.42
5 Dy 0.0000 0.0000 0.2602  6 Cd 3.26-3.39, 6 Tm 3.39-3.42
6 Tm 0.5000 0.0000 0.0000  4 Dy 3.39, 4 Cd 3.42, 4 Tm 3.43
7 Tm 0.5000 0.5000 0.7334  6 Cd 3.22-3.43, 4 Dy 3.42, 2 Tm 3.43
8 Tm 0.5000 0.5000 0.2666  6 Cd 3.22-3.43, 4 Dy 3.42, 2 Tm 3.43

Summary:
- energy above the most stable polymorph in this dataset (meV/atom) = 57
- magnetization (μB per formula unit) = 0.4
- energy relative to the elements (eV per atom) = -0.17
- DOS at the Fermi energy (states/eV/atom) = 1.146